(1)
Density functional theory data (PBE-GGA) for MnCd5Pd8 after structural relaxation.

Unit cell a=6.879 b=6.879 c=6.879 alpha=110.12 beta=108.17 gamma=110.12
Fractional coordinates of all 14 atoms:
1 Pd 0.658 0.895 0.903
2 Pd 0.594 0.425 0.835
3 Pd 0.237 0.245 0.342
4 Pd 0.097 0.755 0.992
5 Pd 0.410 0.575 0.170
6 Pd 0.165 0.759 0.590
7 Pd 0.830 0.241 0.406
8 Pd 0.008 0.105 0.763
9 Cd 0.718 0.601 0.561
10 Cd 0.883 0.844 0.282
11 Cd 0.500 0.000 0.500
12 Cd 0.960 0.399 0.117
13 Cd 0.439 0.156 0.040
14 Mn 0.250 0.500 0.750

Values from the calculation:
The value obtained for the spin magnetization is 4.73 μB/f.u. The energy relative to the elements is -0.20 eV per atom.

(2)
Density functional theory data (PBE-GGA) for SrAsW2 after structural relaxation.

Unit cell a=4.825 b=4.825 c=9.729 alpha=75.64 beta=75.64 gamma=90.00
Fractional coordinates of all 8 atoms:
1 As 0.250 0.750 0.500
2 As 0.500 0.500 0.000
3 Sr 0.000 0.000 0.000
4 Sr 0.750 0.250 0.500
5 W 0.341 0.125 0.250
6 W 0.875 0.591 0.750
7 W 0.375 0.659 0.750
8 W 0.409 0.625 0.250

Values from the calculation:
The value obtained for the spin magnetization is 0.00 μB/f.u. The energy relative to the elements is 0.85 eV per atom.

(3)
Density functional theory data (PBE-GGA) for TlSnCl3 after structural relaxation.

Unit cell a=4.962 b=4.962 c=17.260 alpha=90.00 beta=90.00 gamma=120.00
Fractional coordinates of all 10 atoms:
1 Cl 0.667 0.333 0.092
2 Cl 0.333 0.667 0.908
3 Cl 0.000 0.000 0.750
4 Cl 0.333 0.667 0.592
5 Cl 0.667 0.333 0.408
6 Cl 0.000 0.000 0.250
7 Tl 0.000 0.000 0.000
8 Tl 0.000 0.000 0.500
9 Sn 0.667 0.333 0.250
10 Sn 0.333 0.667 0.750

Values from the calculation:
The value obtained for the spin magnetization is 0.00 μB/f.u. As for the uncorrected formation energy: -0.960 eV per atom.

(4)
Density functional theory data (PBE-GGA) for LiAlCr2 after structural relaxation.

Unit cell a=2.468 b=4.189 c=4.877 alpha=90.00 beta=90.00 gamma=90.00
Fractional coordinates of all 4 atoms:
1 Cr 0.000 0.000 0.510
2 Cr 0.000 0.000 0.990
3 Al 0.500 0.500 0.750
4 Li 0.500 0.500 0.250

Values from the calculation:
The value obtained for the spin magnetization is 0.00 μB/f.u. The energy relative to the elements is 0.24 eV per atom.

(5)
Density functional theory data (PBE-GGA) for YMn2Co2 after structural relaxation.

Unit cell a=3.984 b=3.984 c=5.548 alpha=68.96 beta=68.96 gamma=90.00
Fractional coordinates of all 5 atoms:
1 Mn 0.750 0.250 0.500
2 Mn 0.250 0.750 0.500
3 Co 0.617 0.617 0.766
4 Co 0.383 0.383 0.234
5 Y 0.000 0.000 0.000

Values from the calculation:
The energy above the most stable polymorph in this dataset is 0.0 kJ/mol of formula units. The value obtained for the spin magnetization is 5.75 μB/f.u. The energy relative to the elements is 0.01 eV per atom.

(6)
Density functional theory data (PBE-GGA) for PuTh2Rh5Au after structural relaxation.

Unit cell a=8.457 b=8.457 c=8.057 alpha=121.66 beta=121.66 gamma=90.00
Fractional coordinates of all 18 atoms:
1 Rh 0.332 0.832 0.275
2 Rh 0.558 0.668 0.725
3 Rh 0.500 0.500 0.000
4 Rh 0.942 0.442 0.275
5 Rh 0.668 0.168 0.725
6 Rh 0.832 0.942 0.275
7 Rh 0.442 0.332 0.275
8 Rh 0.168 0.058 0.725
9 Rh 0.000 0.000 0.000
10 Rh 0.058 0.558 0.725
11 Th 0.137 0.363 0.000
12 Th 0.363 0.863 0.000
13 Th 0.637 0.137 0.000
14 Th 0.863 0.637 0.000
15 Au 0.750 0.250 0.500
16 Au 0.250 0.750 0.500
17 Pu 0.750 0.750 0.500
18 Pu 0.250 0.250 0.500

Values from the calculation:
The value obtained for the spin magnetization is 5.10 μB/f.u. The energy relative to the elements is -0.28 eV per atom.